[1]
First-principles (PBE-GGA) data for a geometry-optimized ZrBeTl3 structure, as listed in Alexandria.

Calculated values
As for the symmetry: Pm-3m (221). The total moment comes out at 0.0 μB/cell. The calculation puts the formation energy at 535 kJ/mol of formula units. Its total energy is -2.766 eV/atom. The offset from the most stable computed form comes out at 493 meV/atom.

Geometry as extended XYZ:
```
5
Lattice="5.7257 0.0000 0.0000 0.0000 5.7257 0.0000 0.0000 0.0000 5.7257" Properties=species:S:1:pos:R:3 pbc="T T T"
Zr 0.0000 0.0000 0.0000
Be 2.8628 2.8628 2.8628
Tl 0.0000 0.0000 2.8628
Tl 0.0000 2.8628 0.0000
Tl 2.8628 0.0000 0.0000
```

***

[2]
First-principles (PBE-GGA) data for a geometry-optimized CsAlIn structure, as listed in Alexandria.

Calculated values
As for the symmetry: P2_1/m (11). The total moment comes out at 0.0 μB/cell. The calculation puts the formation energy at -2 kJ/mol of formula units. Its total energy is -2.453 eV/atom. The offset from the most stable computed form comes out at 0 meV/atom.

Geometry as extended XYZ:
```
6
Lattice="5.0051 0.0000 0.0000 0.0000 4.6059 0.0000 -0.6752 0.0000 9.9767" Properties=species:S:1:pos:R:3 pbc="T T T"
Cs 0.9283 1.1515 3.3139
Cs 3.4016 3.4544 6.6627
Al 0.7979 3.4544 0.0771
Al 3.5320 1.1515 9.8996
In 1.0572 1.1515 8.4912
In 3.2727 3.4544 1.4854
```

***

[3]
First-principles (PBE-GGA) data for a geometry-optimized Pu3B4C2 structure, as listed in Alexandria.

Calculated values
As for the symmetry: Immm (71). The total moment comes out at 13.8 μB/cell. The calculation puts the formation energy at 70 kJ/mol of formula units. Its total energy is -9.714 eV/atom.

Geometry as extended XYZ:
```
9
Lattice="-1.9165 2.8943 5.4091 1.9165 -2.8943 5.4091 1.9165 2.8943 -5.4091" Properties=species:S:1:pos:R:3 pbc="T T T"
Pu 0.0000 0.0000 0.0000
Pu 1.9165 0.0000 3.7128
Pu 0.0000 2.8943 1.6963
B 1.9165 0.9276 -1.4100
B 1.9165 0.9276 1.4100
B 0.0000 1.9667 3.9991
B 0.0000 1.9667 6.8192
C 1.9165 1.5533 0.0000
C 0.0000 1.3410 5.4091
```

***

[4]
First-principles (PBE-GGA) data for a geometry-optimized Nd2CuSi structure, as listed in Alexandria.

Calculated values
As for the symmetry: P4/mmm (123). The total moment comes out at 0.0 μB/cell. For the uncorrected formation energy, the calculation gives -0.333 eV per atom. Its total energy is -5.097 eV/atom.

Geometry as extended XYZ:
```
4
Lattice="5.0922 0.0000 0.0000 0.0000 5.0922 0.0000 0.0000 0.0000 3.6515" Properties=species:S:1:pos:R:3 pbc="T T T"
Nd 0.0000 2.5461 0.0000
Nd 2.5461 0.0000 0.0000
Cu 0.0000 0.0000 1.8257
Si 2.5461 2.5461 1.8257
```

***

[5]
First-principles (PBE-GGA) data for a geometry-optimized Pa3Mn5Te12 structure, as listed in Alexandria.

Calculated values
As for the symmetry: Ia-3d (230). The total moment comes out at 104.6 μB/cell. For the uncorrected formation energy, the calculation gives -0.398 eV per atom. Its total energy is -6.000 eV/atom.

Geometry as extended XYZ:
```
80
Lattice="-8.5258 8.5258 8.5258 8.5258 -8.5258 8.5258 8.5258 8.5258 -8.5258" Properties=species:S:1:pos:R:3 pbc="T T T"
Pa 4.2629 2.1314 0.0000
Pa 8.5258 4.2629 -2.1314
Pa 2.1314 0.0000 4.2629
Pa 10.6572 0.0000 4.2629
Pa 0.0000 4.2629 2.1314
Pa 4.2629 -2.1314 8.5258
Pa 4.2629 10.6572 0.0000
Pa 8.5258 4.2629 6.3943
Pa -2.1314 8.5258 4.2629
Pa 6.3943 8.5258 4.2629
Pa 0.0000 4.2629 10.6572
Pa 4.2629 6.3943 8.5258
Mn 0.0000 0.0000 0.0000
Mn 4.2629 4.2629 -4.2629
Mn 4.2629 -4.2629 4.2629
Mn 8.5258 0.0000 0.0000
Mn 12.7887 2.1314 0.0000
Mn 8.5258 -4.2629 6.3943
Mn 6.3943 8.5258 -4.2629
Mn 6.3943 0.0000 4.2629
Mn 4.2629 6.3943 0.0000
Mn 8.5258 4.2629 2.1314
Mn -4.2629 4.2629 4.2629
Mn 0.0000 8.5258 0.0000
Mn 0.0000 0.0000 8.5258
Mn 4.2629 4.2629 4.2629
Mn 0.0000 4.2629 6.3943
Mn 4.2629 2.1314 8.5258
Mn 2.1314 8.5258 4.2629
Mn 2.1314 0.0000 12.7887
Mn 0.0000 12.7887 2.1314
Mn -4.2629 6.3943 8.5258
Te 2.5666 -0.4321 1.1059
Te 10.2221 5.3688 -4.6950
Te 8.0937 -1.1059 2.5666
Te 13.2208 -1.6963 3.1569
Te 11.0924 0.4321 1.1059
Te 10.2221 -3.1569 4.6950
Te 1.1059 2.5666 -0.4321
Te 11.6827 3.8308 -1.6963
Te 5.3688 4.6950 -1.6963
Te 7.4198 2.5666 0.4321
Te -0.4321 1.1059 2.5666
Te 4.6950 -1.6963 5.3688
Te 8.0937 7.4198 -2.5666
Te 4.6950 1.6963 3.1569
Te 7.4198 -2.5666 8.0937
Te 5.3688 -4.6950 10.2221
Te 3.1569 4.6950 1.6963
Te 9.6317 5.9592 0.4321
Te 2.5666 8.0937 -1.1059
Te 10.2221 3.1569 3.8308
Te 4.6950 10.2221 -3.1569
Te 8.0937 1.1059 5.9592
Te 1.6963 3.1569 4.6950
Te 2.5666 0.4321 7.4198
Te 5.9592 8.0937 1.1059
Te 6.8295 5.3688 3.8308
Te 0.4321 7.4198 2.5666
Te 3.8308 -1.6963 11.6827
Te -1.6963 5.3688 4.6950
Te 5.9592 0.4321 9.6317
Te -1.1059 2.5666 8.0937
Te 5.3688 3.8308 6.8295
Te 3.1569 13.2208 -1.6963
Te 1.1059 11.0924 0.4321
Te 3.8308 6.8295 5.3688
Te 0.4321 1.1059 11.0924
Te 3.8308 10.2221 3.1569
Te 8.9579 7.4198 5.9592
Te 1.1059 5.9592 8.0937
Te 3.1569 3.8308 10.2221
Te -3.1569 4.6950 10.2221
Te 7.4198 5.9592 8.9579
Te -1.6963 11.6827 3.8308
Te -2.5666 8.0937 7.4198
Te -4.6950 10.2221 5.3688
Te 0.4321 9.6317 5.9592
Te -1.6963 3.1569 13.2208
Te 5.9592 8.9579 7.4198
```

***

[6]
First-principles (PBE-GGA) data for a geometry-optimized Y2UGe3Pt4 structure, as listed in Alexandria.

Calculated values
As for the symmetry: P-4m2 (115). The total moment comes out at 2.5 μB/cell. The calculation puts the formation energy at -763 kJ/mol of formula units. Its total energy is -7.014 eV/atom.

Geometry as extended XYZ:
```
10
Lattice="4.2572 0.0000 0.0000 0.0000 4.2572 0.0000 0.0000 0.0000 11.2281" Properties=species:S:1:pos:R:3 pbc="T T T"
Y 0.0000 2.1286 2.4647
Y 2.1286 0.0000 8.7633
U 0.0000 0.0000 5.6140
Ge 0.0000 2.1286 9.8157
Ge 2.1286 0.0000 1.4124
Ge 2.1286 2.1286 5.6140
Pt 0.0000 0.0000 0.0000
Pt 0.0000 2.1286 7.3816
Pt 2.1286 0.0000 3.8465
Pt 2.1286 2.1286 0.0000
```

***

[7]
First-principles (PBE-GGA) data for a geometry-optimized CaRh2W structure, as listed in Alexandria.

Calculated values
As for the symmetry: Pmm2 (25). The total moment comes out at 0.0 μB/cell. The calculation puts the formation energy at 66 kJ/mol of formula units. Its total energy is -7.243 eV/atom. The offset from the most stable computed form comes out at 322 meV/atom.

Geometry as extended XYZ:
```
4
Lattice="2.8401 0.0000 0.0000 0.0000 4.5787 0.0000 0.0000 0.0000 5.3167" Properties=species:S:1:pos:R:3 pbc="T T T"
Ca 0.0000 0.0000 0.0000
Rh 0.0000 0.0000 2.6794
Rh 1.4200 2.2894 0.6462
W 1.4200 2.2894 3.4153
```

***

[8]
First-principles (PBE-GGA) data for a geometry-optimized ScNb3Ga structure, as listed in Alexandria.

Calculated values
As for the symmetry: Pm-3m (221). The total moment comes out at 0.0 μB/cell. The calculation puts the formation energy at 401 kJ/mol of formula units. Its total energy is -7.082 eV/atom. The offset from the most stable computed form comes out at 0 meV/atom.

Geometry as extended XYZ:
```
5
Lattice="4.8156 0.0000 0.0000 0.0000 4.8156 0.0000 0.0000 0.0000 4.8156" Properties=species:S:1:pos:R:3 pbc="T T T"
Sc 0.0000 0.0000 0.0000
Nb 0.0000 2.4078 2.4078
Nb 2.4078 0.0000 2.4078
Nb 2.4078 2.4078 0.0000
Ga 2.4078 2.4078 2.4078
```

***

[9]
First-principles (PBE-GGA) data for a geometry-optimized Sm2DyCu6 structure, as listed in Alexandria.

Calculated values
As for the symmetry: P6/mmm (191). The total moment comes out at 0.0 μB/cell. The calculation puts the formation energy at -210 kJ/mol of formula units. Its total energy is -4.532 eV/atom.

Geometry as extended XYZ:
```
9
Lattice="7.3659 0.0000 0.0000 -3.6829 6.3790 0.0000 0.0000 0.0000 3.6403" Properties=species:S:1:pos:R:3 pbc="T T T"
Sm 0.0000 4.2527 0.0000
Sm 3.6829 2.1263 0.0000
Dy 0.0000 0.0000 0.0000
Cu -1.2217 2.1161 1.8201
Cu -2.4612 4.2630 1.8201
Cu 2.4434 0.0000 1.8201
Cu 1.2217 2.1161 1.8201
Cu 4.9225 0.0000 1.8201
Cu 2.4612 4.2630 1.8201
```

***

[10]
First-principles (PBE-GGA) data for a geometry-optimized Lu2GaOs structure, as listed in Alexandria.

Calculated values
As for the symmetry: P4/mmm (123). The total moment comes out at 0.0 μB/cell. The calculation puts the formation energy at -194 kJ/mol of formula units. Its total energy is -6.329 eV/atom.

Geometry as extended XYZ:
```
4
Lattice="3.4145 0.0000 0.0000 0.0000 3.4145 0.0000 0.0000 0.0000 6.8762" Properties=species:S:1:pos:R:3 pbc="T T T"
Lu 0.0000 0.0000 1.6054
Lu 0.0000 0.0000 5.2708
Ga 1.7073 1.7073 3.4381
Os 1.7073 1.7073 0.0000
```

***

[11]
First-principles (PBE-GGA) data for a geometry-optimized LiMgBi2 structure, as listed in Alexandria.

Calculated values
As for the symmetry: C2/c (15). The total moment comes out at 0.0 μB/cell. The calculation puts the formation energy at -93 kJ/mol of formula units. Its total energy is -3.059 eV/atom.

Geometry as extended XYZ:
```
8
Lattice="6.2517 -2.1031 0.0000 6.2517 2.1031 0.0000 -4.6602 0.0000 7.9675" Properties=species:S:1:pos:R:3 pbc="T T T"
Li 2.7565 1.0569 5.9757
Li 5.0866 -1.0569 1.9919
Mg 3.1258 1.0515 0.0000
Mg 0.7957 -1.0515 3.9838
Bi 2.9805 1.0508 3.0319
Bi 7.1927 1.0508 0.9519
Bi 0.6504 -1.0508 7.0156
Bi 4.8625 -1.0508 4.9357
```

***

[12]
First-principles (PBE-GGA) data for a geometry-optimized Ce2MgMn structure, as listed in Alexandria.

Calculated values
As for the symmetry: P4/mmm (123). The total moment comes out at 1.5 μB/cell. The calculation puts the formation energy at 76 kJ/mol of formula units. Its total energy is -5.460 eV/atom. The offset from the most stable computed form comes out at 176 meV/atom.

Geometry as extended XYZ:
```
4
Lattice="4.4474 0.0000 0.0000 0.0000 4.4474 0.0000 0.0000 0.0000 4.6937" Properties=species:S:1:pos:R:3 pbc="T T T"
Ce 0.0000 2.2237 0.0000
Ce 2.2237 0.0000 0.0000
Mg 0.0000 0.0000 2.3468
Mn 2.2237 2.2237 2.3468
```